[1]
A relaxed structure of PaCdO3. Source: OQMD, functional PBE.

a b c (Å): 4.359 4.359 4.367
angles (deg): 90.00 90.00 90.00
Sites, in units of the cell vectors:
Cd 0.000 0.000 0.999
O 0.500 0.500 0.078
O 0.500 0.000 0.626
O 0.000 0.500 0.626
Pa 0.500 0.500 0.572

Results
Spin magnetization (Bohr magnetons per cell): 0.0
Total DFT energy (no corrections) (eV/cell): -35.376



[2]
A relaxed structure of PaCdO3. Source: OQMD, functional PBE.

a b c (Å): 5.998 5.998 6.008
angles (deg): 60.05 60.05 60.00
Sites, in units of the cell vectors:
Cd 0.635 0.635 0.096
Cd 0.365 0.365 0.904
O 0.538 0.246 0.260
O 0.246 0.956 0.260
O 0.956 0.538 0.260
O 0.044 0.462 0.740
O 0.754 0.044 0.740
O 0.462 0.754 0.740
Pa 0.860 0.860 0.420
Pa 0.140 0.140 0.580

Results
Spin magnetization (Bohr magnetons per cell): 2.0
Total DFT energy (no corrections) (eV/cell): -71.213



[3]
A relaxed structure of Pa3Cd5O12. Source: OQMD, functional PBE.

a b c (Å): 11.388 11.388 11.388
angles (deg): 109.47 109.47 109.47
Sites, in units of the cell vectors:
Cd 0.000 0.000 0.000
Cd 0.500 0.000 0.000
Cd 0.000 0.500 0.000
Cd 0.500 0.500 0.000
Cd 0.875 0.250 0.125
Cd 0.750 0.875 0.125
Cd 0.625 0.375 0.250
Cd 0.125 0.875 0.250
Cd 0.250 0.625 0.375
Cd 0.625 0.750 0.375
Cd 0.000 0.000 0.500
Cd 0.500 0.000 0.500
Cd 0.000 0.500 0.500
Cd 0.500 0.500 0.500
Cd 0.375 0.250 0.625
Cd 0.750 0.375 0.625
Cd 0.875 0.125 0.750
Cd 0.375 0.625 0.750
Cd 0.250 0.125 0.875
Cd 0.125 0.750 0.875
O 0.328 0.921 0.058
O 0.230 0.137 0.058
O 0.637 0.407 0.079
O 0.942 0.672 0.079
O 0.863 0.421 0.093
O 0.730 0.672 0.093
O 0.579 0.907 0.137
O 0.058 0.230 0.137
O 0.442 0.579 0.172
O 0.230 0.593 0.172
O 0.137 0.058 0.230
O 0.593 0.172 0.230
O 0.442 0.363 0.270
O 0.328 0.907 0.270
O 0.921 0.058 0.328
O 0.907 0.270 0.328
O 0.270 0.442 0.363
O 0.593 0.921 0.363
O 0.079 0.637 0.407
O 0.828 0.770 0.407
O 0.828 0.558 0.421
O 0.093 0.863 0.421
O 0.579 0.172 0.442
O 0.363 0.270 0.442
O 0.637 0.730 0.558
O 0.421 0.828 0.558
O 0.907 0.137 0.579
O 0.172 0.442 0.579
O 0.172 0.230 0.593
O 0.921 0.363 0.593
O 0.407 0.079 0.637
O 0.730 0.558 0.637
O 0.093 0.730 0.672
O 0.079 0.942 0.672
O 0.672 0.093 0.730
O 0.558 0.637 0.730
O 0.407 0.828 0.770
O 0.863 0.942 0.770
O 0.770 0.407 0.828
O 0.558 0.421 0.828
O 0.421 0.093 0.863
O 0.942 0.770 0.863
O 0.270 0.328 0.907
O 0.137 0.579 0.907
O 0.058 0.328 0.921
O 0.363 0.593 0.921
O 0.672 0.079 0.942
O 0.770 0.863 0.942
Pa 0.250 0.375 0.125
Pa 0.375 0.750 0.125
Pa 0.375 0.125 0.250
Pa 0.875 0.625 0.250
Pa 0.750 0.125 0.375
Pa 0.125 0.250 0.375
Pa 0.875 0.750 0.625
Pa 0.250 0.875 0.625
Pa 0.125 0.375 0.750
Pa 0.625 0.875 0.750
Pa 0.625 0.250 0.875
Pa 0.750 0.625 0.875

Results
Spin magnetization (Bohr magnetons per cell): 4.0
Total DFT energy (no corrections) (eV/cell): -513.398



[4]
A relaxed structure of PaCdO3. Source: OQMD, functional PBE.

a b c (Å): 6.159 6.159 6.159
angles (deg): 58.01 58.01 58.01
Sites, in units of the cell vectors:
Cd 0.250 0.250 0.250
Cd 0.750 0.750 0.750
O 0.750 0.388 0.112
O 0.612 0.888 0.250
O 0.112 0.750 0.388
O 0.888 0.250 0.612
O 0.388 0.112 0.750
O 0.250 0.612 0.888
Pa 0.000 0.000 0.000
Pa 0.500 0.500 0.500

Results
Spin magnetization (Bohr magnetons per cell): 2.0
Total DFT energy (no corrections) (eV/cell): -71.600